No. 1
## AcY6Tm12 (PBE)

Data for an optimized crystal structure of AcY6Tm12.

Lattice parameters (Å, degrees): 9.2708 9.2708 9.2708 107.80 107.80 107.80
With the nearest neighbours (Å) after each atom.
Element x y z (fractional)
1 Ac 0.0000 0.0000 0.0000  6 Tm 3.59
2 Y 0.2556 0.6870 0.6870  3 Tm 3.02-3.25
3 Y 0.3130 0.3130 0.7444  3 Tm 3.02-3.25
4 Y 0.3130 0.7444 0.3130  3 Tm 3.02-3.25
5 Y 0.6870 0.2556 0.6870  3 Tm 3.02-3.25
6 Y 0.6870 0.6870 0.2556  3 Tm 3.02-3.25
7 Y 0.7444 0.3130 0.3130  3 Tm 3.02-3.25
8 Tm 0.1091 0.5000 0.8909  4 Y 3.25-3.38, 1 Tm 3.27
9 Tm 0.1091 0.8909 0.5000  4 Y 3.25-3.38, 1 Tm 3.27
10 Tm 0.1628 0.3779 0.3779  1 Y 3.02, 2 Tm 3.22
11 Tm 0.3779 0.1628 0.3779  1 Y 3.02, 2 Tm 3.22
12 Tm 0.3779 0.3779 0.1628  1 Y 3.02, 2 Tm 3.22
13 Tm 0.5000 0.1091 0.8909  4 Y 3.25-3.38, 1 Tm 3.27
14 Tm 0.5000 0.8909 0.1091  4 Y 3.25-3.38, 1 Tm 3.27
15 Tm 0.6221 0.6221 0.8372  1 Y 3.02, 2 Tm 3.22
16 Tm 0.6221 0.8372 0.6221  1 Y 3.02, 2 Tm 3.22
17 Tm 0.8372 0.6221 0.6221  1 Y 3.02, 2 Tm 3.22
18 Tm 0.8909 0.1091 0.5000  4 Y 3.25-3.38, 1 Tm 3.27
19 Tm 0.8909 0.5000 0.1091  4 Y 3.25-3.38, 1 Tm 3.27

E_form ... 800.8 kJ/mol of formula units
E_tot ... -4.64 eV per atom

---

No. 2
## ScTlFePd2 (PBE)

Data for an optimized crystal structure of ScTlFePd2.

Lattice parameters (Å, degrees): 4.6905 4.6905 4.8863 90.00 90.00 90.00
With the nearest neighbours (Å) after each atom.
Element x y z (fractional)
1 Sc 0.0000 0.0000 0.0000  4 Tl 3.32, 8 Pd 3.39
2 Tl 0.5000 0.5000 0.0000  2 Fe 2.44
3 Fe 0.5000 0.5000 0.5000  4 Pd 2.35, 2 Tl 2.44
4 Pd 0.0000 0.5000 0.5000  2 Fe 2.35
5 Pd 0.5000 0.0000 0.5000  2 Fe 2.35

E_form ... 183.7 kJ/mol of formula units
E_tot ... -5.13 eV per atom

---

No. 3
## Pm3InRu (PBE)

Data for an optimized crystal structure of Pm3InRu.

Lattice parameters (Å, degrees): 9.0652 9.0652 3.8864 90.00 90.00 109.83
With the nearest neighbours (Å) after each atom.
Element x y z (fractional)
1 Pm 0.1776 0.4139 0.5000  2 Ru 2.80
2 Pm 0.1863 0.8137 0.0000  2 Ru 2.77
3 Pm 0.4139 0.1776 0.5000  2 Ru 2.80
4 Pm 0.5861 0.8224 0.5000  2 Ru 2.80
5 Pm 0.8137 0.1863 0.0000  2 Ru 2.77
6 Pm 0.8224 0.5861 0.5000  2 Ru 2.80
7 In 0.0000 0.0000 0.5000  8 Pm 3.38-3.55
8 In 0.5000 0.5000 0.0000  8 Pm 3.37
9 Ru 0.0000 0.5000 0.0000  6 Pm 2.77-2.80
10 Ru 0.5000 0.0000 0.0000  6 Pm 2.77-2.80

Relative energy among the computed polymorphs ... 79 meV per atom
E_form ... -123.4 kJ/mol of formula units
E_tot ... -5.51 eV per atom